Computed, not measured: YTaHg after structural relaxation at the GGA-PBE level of DFT.

Calculated values
The excess energy over the best structure of this formula in the dataset is 0.510 eV/f.u. Its space-group type is P-6m2.

abc: 4.946 4.946 3.268
angles: 90.00 90.00 120.00
Positions (direct):
Y1 0.000 0.000 0.000
Ta1 0.333 0.667 0.500
Hg1 0.667 0.333 0.500

***

Computed, not measured: CeTc2PC after structural relaxation at the GGA-PBE level of DFT.

Calculated values
Its electronic total energy is -0.6528 Ry/atom. Its space-group type is Cmcm.

abc: 5.859 5.859 7.245
angles: 90.00 90.00 141.49
Positions (direct):
Ce1 0.045 0.955 0.750
Ce2 0.955 0.045 0.250
Tc1 0.330 0.670 0.560
Tc2 0.330 0.670 0.940
Tc3 0.670 0.330 0.060
Tc4 0.670 0.330 0.440
P1 0.232 0.768 0.250
P2 0.768 0.232 0.750
C1 0.500 0.500 0.000
C2 0.500 0.500 0.500

***

Taking the records one at a time from the top gives ρ values of 11.28, 8.13 g cm⁻³.